[1]
First-principles (PBE) data for crystalline HgPtBr2 at its relaxed geometry, as listed in the Alexandria database.

Cell and atoms, written as POSCAR:
```
HgPtBr2
1.0
1.816 -3.813 0.000
1.816 3.813 0.000
0.000 0.000 9.032
Hg Pt Br
1 1 2
Direct
0.000 0.000 0.000
0.500 0.500 0.783
0.000 0.000 0.603
0.500 0.500 0.221
```

Energy relative to the elements, uncorrected, eV per atom: -0.04
Volume, Å³/atom: 31.266
ρ, g cm⁻³: 7.375
Energy relative to the lowest polymorph listed for this composition, meV per atom: 69
Total magnetic moment, μB per formula unit: 0.000

=====

[2]
First-principles (PBE) data for crystalline HgPtBr2 at its relaxed geometry, as listed in the Alexandria database.

Cell and atoms, written as POSCAR:
```
HgPtBr2
1.0
-3.837 3.837 6.048
3.837 -3.837 6.048
3.837 3.837 -6.048
Hg Pt Br
2 2 4
Direct
0.000 0.000 0.000
0.750 0.250 0.500
0.250 0.750 0.500
0.500 0.500 0.000
0.321 0.625 0.196
0.375 0.571 0.696
0.429 0.125 0.804
0.875 0.679 0.304
```

Energy relative to the elements, uncorrected, eV per atom: 0.16
Volume, Å³/atom: 44.520
DOS(E_F), states/eV/cell: 3.33
ρ, g cm⁻³: 5.180
Energy relative to the lowest polymorph listed for this composition, meV per atom: 266
Total magnetic moment, μB per formula unit: 0.000